(1)
MgTl2Tc (PBE, relaxed); energy of formation = 2.2 eV per formula unit
1.0
-4.6776 -1.2300 1.1287
0.9701 -2.6448 1.1379
0.6248 2.2884 5.0831
Mg Tc Tl
1 1 2
direct
0.5000 0.2500 0.2500
0.5000 0.7500 0.7500
0.0000 0.9860 0.9928
0.0000 0.5140 0.5072

---

(2)
Be2FeIr3 (PBE, relaxed); energy of formation = -2.3 eV per formula unit
1.0
-0.2250 -2.4930 -1.3187
0.9176 -1.3156 2.3306
-8.3288 -0.7569 2.8519
Be Fe Ir
2 1 3
direct
0.5000 0.5000 0.8469
0.5000 0.5000 0.1531
0.5000 0.5000 0.5000
0.0000 0.0000 0.0000
0.0000 0.0000 0.6863
0.0000 0.0000 0.3137

---

(3)
Sm5CdCo (PBE, relaxed); energy of formation = -0.2 eV per formula unit
1.0
6.0703 -0.2171 0.0403
1.7200 5.8255 0.0403
2.8726 2.0681 11.2971
Sm Cd Co
10 2 2
direct
0.9249 0.5960 0.1260
0.2035 0.5515 0.5625
0.5960 0.9249 0.6260
0.9939 0.0061 0.2500
0.4485 0.7965 0.9375
0.5515 0.2035 0.0625
0.0061 0.9939 0.7500
0.4040 0.0751 0.3740
0.7965 0.4485 0.4375
0.0751 0.4040 0.8740
0.4092 0.5908 0.2500
0.5908 0.4092 0.7500
0.0000 0.0000 0.0000
0.0000 0.0000 0.5000

---

(4)
CaCuHg2 (PBE, relaxed); energy of formation = -0.7 eV per formula unit
1.0
4.2848 0.0000 0.0000
0.0000 3.8090 -0.0175
0.0000 1.8694 5.7833
Ca Hg Cu
1 2 1
direct
0.0000 0.5407 0.5410
0.0000 0.8149 0.9926
0.5000 0.1900 0.2431
0.5000 0.9543 0.7234

---

(5)
Y2HoAl2 (PBE, relaxed); energy of formation = -1.7 eV per formula unit
1.0
-3.9701 -2.0697 -1.5541
0.6057 -2.7432 -5.1205
-0.0476 -5.8064 0.6281
Y Ho Al
2 1 2
direct
0.8026 0.6974 0.6974
0.1974 0.3026 0.3026
0.0000 0.0000 0.0000
0.5000 0.7006 0.2994
0.5000 0.2994 0.7006

---

(6)
Re3Os (PBE, relaxed); energy of formation = 0.3 eV per formula unit
1.0
-0.0561 1.8707 2.0211
-2.5371 -0.8215 0.6900
3.0431 -5.2479 4.9416
Os Re
1 3
direct
0.0000 0.0000 0.0000
0.0000 0.0000 0.5000
0.5000 0.5000 0.2479
0.5000 0.5000 0.7521

---

(7)
ErTm2Pd (PBE, relaxed); energy of formation = -1.9 eV per formula unit
1.0
-2.2970 -0.0114 2.9261
5.0258 -3.5668 1.5620
4.2330 7.4326 3.3520
Er Tm Pd
2 4 2
direct
0.9388 0.8783 0.2500
0.0612 0.1217 0.7500
0.3644 0.7297 0.5597
0.6356 0.2703 0.4403
0.3644 0.7297 0.9403
0.6356 0.2703 0.0597
0.7586 0.5183 0.7500
0.2414 0.4817 0.2500

---

(8)
CdPbS2 (PBE, relaxed); energy relative to the elements, uncorrected = -0.06 eV/atom
1.0
2.2412 0.0000 8.2463
-1.1206 1.9409 8.2463
-1.1206 -1.9409 8.2463
Pb S Cd
1 2 1
direct
0.0000 0.0000 0.0000
0.8911 0.8911 0.8911
0.1089 0.1089 0.1089
0.5000 0.5000 0.5000